Density functional theory data (PBEsol) for an optimized crystal structure of Li2ScCd.

Summary:
magnetization	0.00	μB per formula unit
energy relative to the elements	-6	kJ/mol of atoms
DOS at the Fermi energy	5.72	states/eV/f.u.

Cell lengths 4.768, 4.768, 4.768 Å; angles 60.00, 60.00, 60.00 degrees
Atoms (fractional coordinates):
Cd 0.500 0.500 0.500
Li 0.000 0.000 0.000
Li 0.250 0.250 0.250
Sc 0.750 0.750 0.750


Density functional theory data (PBEsol) for an optimized crystal structure of Te2MoO.

Summary:
magnetization	0.00	μB per formula unit
ΔE_f (raw)	-26	meV/atom
DOS at the Fermi energy	0.36	states/eV/f.u.

Cell lengths 3.540, 3.540, 7.975 Å; angles 77.18, 77.18, 60.00 degrees
Atoms (fractional coordinates):
Mo 0.500 0.500 0.500
Te 0.911 0.911 0.268
Te 0.089 0.089 0.732
O 0.000 0.000 0.000


Density functional theory data (PBEsol) for an optimized crystal structure of LaAs2Rh.

Summary:
magnetization	0.00	μB per formula unit
energy relative to the elements	-98	kJ/mol of atoms
DOS at the Fermi energy	0.45	states/eV/f.u.

Cell lengths 4.068, 4.068, 6.035 Å; angles 70.31, 70.31, 60.00 degrees
Atoms (fractional coordinates):
As 0.774 0.774 0.677
As 0.226 0.226 0.323
Rh 0.500 0.500 0.500
La 0.000 0.000 0.000


Density functional theory data (PBEsol) for an optimized crystal structure of ScNbIn2Ni.

Summary:
magnetization	0.59	μB per formula unit
energy relative to the elements	110	kJ/mol of atoms
DOS at the Fermi energy	8.03	states/eV/f.u.

Cell lengths 4.718, 5.274, 5.274 Å; angles 90.00, 90.00, 90.00 degrees
Each line ends with the local moment (μB).
Atoms (fractional coordinates):
Sc 0.500 0.000 0.000  0.00
Ni 0.500 0.500 0.500  0.55
Nb 0.000 0.000 0.000  0.05
In 0.000 0.000 0.500  0.01
In 0.000 0.500 0.000  0.01


Density functional theory data (PBEsol) for an optimized crystal structure of BeHg4.

Summary:
magnetization	0.00	μB per formula unit
energy relative to the elements	11	kJ/mol of atoms
DOS at the Fermi energy	1.96	states/eV/f.u.

Cell lengths 5.182, 5.182, 5.182 Å; angles 109.47, 109.47, 109.47 degrees
Atoms (fractional coordinates):
Be 0.000 0.000 0.000
Hg 0.000 0.000 0.500
Hg 0.000 0.500 0.000
Hg 0.500 0.000 0.000
Hg 0.500 0.500 0.500


Density functional theory data (PBEsol) for an optimized crystal structure of Rb2TlPt.

Summary:
magnetization	0.00	μB per formula unit
energy relative to the elements	4	kJ/mol of atoms
DOS at the Fermi energy	2.24	states/eV/f.u.

Cell lengths 5.229, 8.851, 8.851 Å; angles 84.99, 72.82, 72.82 degrees
Atoms (fractional coordinates):
Tl 0.000 0.000 0.000
Tl 0.750 0.500 0.500
Rb 0.464 0.161 0.661
Rb 0.286 0.839 0.339
Rb 0.375 0.339 0.161
Rb 0.875 0.661 0.839
Pt 0.500 0.000 0.000
Pt 0.250 0.500 0.500


Density functional theory data (PBEsol) for an optimized crystal structure of K2SrMnIn.

Summary:
magnetization	4.33	μB per formula unit
energy relative to the elements	58	kJ/mol of atoms
DOS at the Fermi energy	3.65	states/eV/f.u.

Cell lengths 5.194, 6.602, 6.602 Å; angles 90.00, 90.00, 90.00 degrees
Each line ends with the local moment (μB).
Atoms (fractional coordinates):
Sr 0.500 0.500 0.500  0.01
K 0.000 0.000 0.500  -0.01
K 0.000 0.500 0.000  -0.01
Mn 0.500 0.000 0.000  4.05
In 0.000 0.000 0.000  -0.09


Density functional theory data (PBEsol) for an optimized crystal structure of AlSe3.

Summary:
magnetization	0.00	μB per formula unit
ΔE_f (raw)	59	meV/atom
DOS at the Fermi energy	1.76	states/eV/f.u.

Cell lengths 3.990, 7.250, 7.295 Å; angles 119.80, 90.00, 90.00 degrees
Atoms (fractional coordinates):
Al 0.250 0.569 0.138
Al 0.750 0.431 0.862
Se 0.750 0.070 0.140
Se 0.250 0.930 0.860
Se 0.750 0.038 0.643
Se 0.250 0.962 0.357
Se 0.750 0.605 0.643
Se 0.250 0.395 0.357


Density functional theory data (PBEsol) for an optimized crystal structure of ReSbMo2.

Summary:
magnetization	0.00	μB per formula unit
ΔE_f (raw)	240	meV/atom
DOS at the Fermi energy	3.22	states/eV/f.u.

Cell lengths 3.019, 3.019, 7.181 Å; angles 90.00, 90.00, 90.00 degrees
Atoms (fractional coordinates):
Mo 0.000 0.000 0.771
Mo 0.000 0.000 0.229
Re 0.500 0.500 0.000
Sb 0.500 0.500 0.500


Density functional theory data (PBEsol) for an optimized crystal structure of Mg2Ni2As.

Summary:
magnetization	0.00	μB per formula unit
energy relative to the elements	29	kJ/mol of atoms
DOS at the Fermi energy	3.30	states/eV/f.u.

Cell lengths 3.683, 3.683, 6.348 Å; angles 106.86, 106.86, 90.00 degrees
Atoms (fractional coordinates):
Ni 0.404 0.404 0.808
Ni 0.596 0.596 0.192
As 0.000 0.000 0.000
Mg 0.250 0.750 0.500
Mg 0.750 0.250 0.500


Density functional theory data (PBEsol) for an optimized crystal structure of Na2MgH8S2O12.

Summary:
magnetization	0.15	μB per formula unit
energy	-5.628	eV per atom
DOS at the Fermi energy	0.00	states/eV/f.u.

Cell lengths 5.445, 8.254, 11.058 Å; angles 90.00, 100.20, 90.00 degrees
Atoms (fractional coordinates):
Na 0.884 0.423 0.137
Na 0.884 0.077 0.637
Na 0.116 0.923 0.363
Na 0.116 0.577 0.863
Mg 0.000 0.000 0.000
Mg 0.000 0.500 0.500
H 0.763 0.444 0.684
H 0.756 0.773 0.493
H 0.777 0.863 0.157
H 0.756 0.727 0.993
H 0.223 0.363 0.343
H 0.663 0.701 0.363
H 0.237 0.556 0.316
H 0.237 0.944 0.816
H 0.244 0.227 0.507
H 0.763 0.056 0.184
H 0.663 0.799 0.863
H 0.337 0.201 0.137
H 0.337 0.299 0.637
H 0.244 0.273 0.007
H 0.777 0.637 0.657
H 0.223 0.137 0.843
S 0.616 0.208 0.363
S 0.384 0.792 0.637
S 0.616 0.292 0.863
S 0.384 0.708 0.137
O 0.772 0.426 0.921
O 0.346 0.177 0.370
O 0.126 0.466 0.336
O 0.228 0.926 0.579
O 0.874 0.966 0.164
O 0.634 0.221 0.229
O 0.366 0.779 0.771
O 0.654 0.677 0.130
O 0.654 0.823 0.630
O 0.366 0.721 0.271
O 0.126 0.034 0.836
O 0.346 0.323 0.870
O 0.228 0.574 0.079
O 0.772 0.074 0.421
O 0.311 0.863 0.074
O 0.874 0.534 0.664
O 0.817 0.712 0.427
O 0.634 0.279 0.729
O 0.183 0.212 0.073
O 0.183 0.288 0.573
O 0.311 0.637 0.574
O 0.689 0.363 0.426
O 0.689 0.137 0.926
O 0.817 0.788 0.927


Density functional theory data (PBEsol) for an optimized crystal structure of YSi3F.

Summary:
magnetization	1.25	μB per formula unit
ΔE_f (raw)	1109	meV/atom
DOS at the Fermi energy	9.28	states/eV/f.u.

Cell lengths 5.318, 5.318, 5.318 Å; angles 90.00, 90.00, 90.00 degrees
Each line ends with the local moment (μB).
Atoms (fractional coordinates):
Y 0.000 0.000 0.000  0.22
Si 0.000 0.500 0.000  0.08
Si 0.000 0.000 0.500  0.08
Si 0.500 0.000 0.000  0.08
F 0.500 0.500 0.500  0.23


Q: Which value of magnetization does entry 9 give?
A: 0.00 μB per formula unit